# 1
20
Lattice="5.4570 -7.7146 0.0000 5.4570 7.7146 0.0000 -5.4032 0.0000 8.1841" Properties=species:S:1:pos:R:3 comment="Pr3Sm5Er2 GGA-PBE optimized geometry" magmom_total_mub_per_fu=0.00 polymorph_energy_ev_per_atom=0.000 formation_energy_ev_per_atom=0.182 pbc="T T T"
Pr 1.3158 1.9370 0.4165
Pr 1.4046 4.1686 6.1380
Pr -1.3858 -1.9370 4.5085
Pr 6.8965 1.9370 3.6756
Pr 4.1062 -4.1686 2.0460
Pr 4.1949 -1.9370 7.7676
Sm 1.4046 7.3751 6.1380
Sm -1.2841 1.8443 6.3455
Sm 4.1062 3.5210 2.0460
Sm 1.4175 -1.8443 2.2535
Sm 4.1062 0.4389 2.0460
Sm 1.4046 -0.4389 6.1380
Sm 4.0933 1.8443 5.9306
Sm 1.4046 -3.5210 6.1380
Sm 6.7949 -1.8443 1.8385
Sm 4.1062 -7.3751 2.0460
Er 1.3243 1.8639 3.6893
Er -1.3773 -1.8639 7.7814
Er 6.8880 1.8639 0.4027
Er 4.1864 -1.8639 4.4947


# 2
5
Lattice="5.0478 0.0000 0.0000 0.0000 5.0478 0.0000 0.0000 0.0000 5.0478" Properties=species:S:1:pos:R:3 comment="KY3Ir GGA-PBE optimized geometry" magmom_total_mub_per_fu=0.00 polymorph_energy_ev_per_atom=1.757 formation_energy_ev_per_atom=1.570 pbc="T T T"
K 0.0000 0.0000 0.0000
Y 0.0000 0.0000 2.5239
Y 0.0000 2.5239 0.0000
Y 2.5239 0.0000 0.0000
Ir 2.5239 2.5239 2.5239


# 3
23
Lattice="13.0119 0.0000 0.0000 -6.5059 11.2686 0.0000 0.0000 0.0000 7.3650" Properties=species:S:1:pos:R:3 comment="Rb6Ni3I14 GGA-PBE optimized geometry" magmom_total_mub_per_fu=3.97 formation_energy_uncorrected_ev_per_atom=-0.76 pbc="T T T"
Rb -2.5771 5.3137 0.0000
Rb 2.5409 2.2098 3.8854
Rb -0.6156 10.8436 0.0000
Rb 3.1926 6.3799 0.0000
Rb 9.8277 1.0956 3.8854
Rb 7.1492 7.9632 3.8854
Ni 0.0000 0.0000 0.7623
Ni 0.0000 7.5124 4.2760
Ni 6.5059 3.7562 5.5731
I 0.0000 0.0000 5.5854
I -0.4458 2.3923 1.5456
I -4.2112 10.4585 1.5456
I -2.2396 8.4240 5.0799
I 0.3304 5.1170 5.0799
I 0.0000 7.5124 1.7293
I 4.4361 2.9369 7.1147
I 6.1582 1.5608 4.0460
I 1.9093 8.9962 5.0799
I 4.7786 5.1551 4.0460
I 8.2504 2.3733 7.1147
I 4.6570 9.6864 1.5456
I 6.8314 5.9584 7.1147
I 8.5811 4.5527 4.0460


# 4
4
Lattice="0.0000 3.6793 3.6793 3.6793 0.0000 3.6793 3.6793 3.6793 0.0000" Properties=species:S:1:pos:R:3 comment="PmPrSiGe GGA-PBE optimized geometry" magmom_total_mub_per_fu=0.00 formation_energy_uncorrected_ev_per_atom=-0.46 polymorph_energy_ev_per_atom=0.338 pbc="T T T"
Pm 0.0000 0.0000 0.0000
Pr 3.6793 3.6793 3.6793
Si 1.8396 1.8396 1.8396
Ge 5.5189 5.5189 5.5189


# 5
4
Lattice="0.0000 3.8535 3.8535 3.8535 0.0000 3.8535 3.8535 3.8535 0.0000" Properties=species:S:1:pos:R:3 comment="Ca2AgTe GGA-PBE optimized geometry" magmom_total_mub_per_fu=0.00 formation_energy_uncorrected_ev_per_atom=-0.27 pbc="T T T"
Ca 0.0000 0.0000 0.0000
Ca 1.9267 1.9267 1.9267
Ag 5.7802 5.7802 5.7802
Te 3.8535 3.8535 3.8535


# 6
4
Lattice="3.6261 0.0000 0.0000 0.0000 3.6261 0.0000 0.0000 0.0000 6.7101" Properties=species:S:1:pos:R:3 comment="CaHg2Pd GGA-PBE optimized geometry" magmom_total_mub_per_fu=0.00 formation_energy_ev_per_atom=-0.400 pbc="T T T"
Ca 0.0000 0.0000 0.0000
Hg 1.8130 1.8130 1.8822
Hg 1.8130 1.8130 4.8279
Pd 0.0000 0.0000 3.3551